Material: Sm2Tm12Th5
Method: DFT, PBE-GGA
State: optimized geometry

Calculated values
Space group: C2/m
Electronic total energy: -96.08 eV for the cell shown
Formation enthalpy at 0 K: 217 meV/atom
Total magnetization: 0.00 μB per atom

abc: 7.033 9.918 10.090
angles: 68.23 90.00 110.77
Sites, in units of the cell vectors:
Th: 0.682 0.365 0.788
Th: 0.000 0.000 0.500
Tm: 0.083 0.670 0.512
Sm: 0.288 0.000 0.000
Tm: 0.502 0.005 0.673
Tm: 0.088 0.685 0.862
Tm: 0.403 0.315 0.138
Tm: 0.587 0.670 0.512
Tm: 0.413 0.330 0.488
Tm: 0.597 0.685 0.862
Th: 0.811 0.623 0.185
Th: 0.189 0.377 0.815
Tm: 0.498 0.995 0.327
Tm: 0.974 0.948 0.234
Tm: 0.917 0.330 0.488
Tm: 0.912 0.315 0.138
Th: 0.318 0.635 0.212
Sm: 0.712 0.000 0.000
Tm: 0.026 0.052 0.766